[1]
Cr2CuReAu | PBE | relaxed

The space group is P4/mmm (No. 123) and the conventional cell measures 4.588, 4.588 and 4.494 Å, with angles of 90.00, 90.00 and 90.00 degrees. Symmetry generates all atoms from Cr at (0.000, 0.500, 0.000), Cu at (0.000, 0.000, 0.500), Re at (0.500, 0.500, 0.500) and Au at (0.000, 0.000, 0.000).

As for the total magnetization: 2.5 μB/f.u. As for the crystal system: tetragonal. The total energy is -27.30 eV per cell. The calculation puts the density of states at the Fermi level at 2.31 states/eV per atom. The calculation puts the formation energy at 227.0 kJ per mole of atoms.


[2]
TaHgPd | PBE | relaxed

The space group is P4/nmm (No. 129, origin choice 2) and the conventional cell measures 3.221, 3.221 and 10.886 Å, with angles of 90.00, 90.00 and 90.00 degrees. Symmetry generates all atoms from Ta at (0.250, 0.250, 0.083), Hg at (0.250, 0.250, 0.397) and Pd at (0.250, 0.250, 0.780).

As for the total magnetization: 0.0 μB/f.u. As for the crystal system: tetragonal. The total energy is -35.49 eV per cell. The calculation puts the density of states at the Fermi level at 0.48 states/eV per atom. The calculation puts the formation energy at -12.8 kJ per mole of atoms.


[3]
LaPm3PrSc | PBE | relaxed

The space group is Cmcm (No. 63) and the conventional cell measures 5.784, 12.009 and 11.597 Å, with angles of 90.00, 90.00 and 90.00 degrees. Symmetry generates all atoms from La at (0.000, 0.027, 0.250), Pm at (0.000, 0.180, 0.530), Pm at (0.000, 0.326, 0.250), Pr at (0.000, 0.500, 0.000) and Sc at (0.000, 0.350, 0.750).

As for the total magnetization: 0.0 μB/f.u. As for the crystal system: orthorhombic. The total energy is -118.92 eV per cell. The calculation puts the density of states at the Fermi level at 1.67 states/eV per atom. The calculation puts the formation energy at 9.0 kJ per mole of atoms.


[4]
BaHfMnSe4 | PBE | relaxed

The space group is P2_1/m (No. 11) and the conventional cell measures 6.573, 7.082 and 8.814 Å, with angles of 90.00, 109.40 and 90.00 degrees. Symmetry generates all atoms from Ba at (0.231, 0.250, 0.048), Hf at (0.207, 0.250, 0.551), Mn at (0.236, 0.750, 0.333), Se at (0.034, 0.513, 0.699), Se at (0.449, 0.750, 0.154) and Se at (0.493, 0.250, 0.407).

As for the total magnetization: 5.0 μB/f.u. As for the crystal system: monoclinic. The formation energy without anion corrections comes out at -1.160 eV/atom. The total energy is -86.20 eV per cell. The calculation puts the density of states at the Fermi level at 0.03 states/eV per atom.


[5]
Hg6S5 | PBE | relaxed

The space group is C2/m (No. 12) and the conventional cell measures 6.857, 11.931 and 6.773 Å, with angles of 90.00, 109.42 and 90.00 degrees. Symmetry generates all atoms from Hg at (0.242, 0.000, 0.252), Hg at (0.243, 0.170, 0.742), S at (0.000, 0.000, 0.500), S at (0.000, 0.165, 0.000) and S at (0.000, 0.345, 0.500).

As for the total magnetization: 0.0 μB/f.u. As for the crystal system: monoclinic. The formation energy without anion corrections comes out at 0.075 eV/atom. The total energy is -43.24 eV per cell. The calculation puts the density of states at the Fermi level at 0.21 states/eV per atom.


[6]
ThZrAs | PBE | relaxed

The space group is Pmn2_1 (No. 31) and the conventional cell measures 12.383, 6.640 and 5.841 Å, with angles of 90.00, 90.00 and 90.00 degrees. Symmetry generates all atoms from Th at (0.000, 0.006, 0.000), Th at (0.151, 0.555, 0.728), Zr at (0.000, 0.457, 0.217), Zr at (0.201, 0.037, 0.498), As at (0.000, 0.200, 0.560) and As at (0.161, 0.716, 0.221).

As for the total magnetization: 0.0 μB/f.u. As for the crystal system: orthorhombic. The total energy is -134.49 eV per cell. The calculation puts the density of states at the Fermi level at 1.22 states/eV per atom. The calculation puts the formation energy at -57.8 kJ per mole of atoms.


[7]
HfTiReTc | PBE | relaxed

The space group is P4mm (No. 99) and the conventional cell measures 3.194, 3.194 and 6.384 Å, with angles of 90.00, 90.00 and 90.00 degrees. Symmetry generates all atoms from Hf at (0.000, 0.000, 0.000), Ti at (0.000, 0.000, 0.502), Re at (0.500, 0.500, 0.264) and Tc at (0.500, 0.500, 0.740).

As for the total magnetization: 0.0 μB/f.u. As for the crystal system: tetragonal. The total energy is -42.23 eV per cell. The calculation puts the density of states at the Fermi level at 0.97 states/eV per atom. The calculation puts the formation energy at -37.8 kJ per mole of atoms.


[8]
LiTbAlAu | PBE | relaxed

The space group is F-43m (No. 216) and the conventional cell measures 6.711, 6.711 and 6.711 Å, with angles of 90.00, 90.00 and 90.00 degrees. Symmetry generates all atoms from Li at (0.000, 0.000, 0.000), Tb at (0.250, 0.250, 0.750), Al at (0.250, 0.250, 0.250) and Au at (0.000, 0.000, 0.500).

As for the total magnetization: 0.0 μB/f.u. As for the crystal system: cubic. The total energy is -63.91 eV per cell. The calculation puts the density of states at the Fermi level at 0.09 states/eV per atom. The calculation puts the formation energy at -58.2 kJ per mole of atoms.


Copy entry 6 word for word.
ThZrAs | PBE | relaxed

The space group is Pmn2_1 (No. 31) and the conventional cell measures 12.383, 6.640 and 5.841 Å, with angles of 90.00, 90.00 and 90.00 degrees. Symmetry generates all atoms from Th at (0.000, 0.006, 0.000), Th at (0.151, 0.555, 0.728), Zr at (0.000, 0.457, 0.217), Zr at (0.201, 0.037, 0.498), As at (0.000, 0.200, 0.560) and As at (0.161, 0.716, 0.221).

As for the total magnetization: 0.0 μB/f.u. As for the crystal system: orthorhombic. The total energy is -134.49 eV per cell. The calculation puts the density of states at the Fermi level at 1.22 states/eV per atom. The calculation puts the formation energy at -57.8 kJ per mole of atoms.